Computed, not measured: an optimized crystal structure of Ac12Co5H at the PBE-GGA level of DFT.

Cell lengths 7.282, 7.272, 13.714 Å; angles 95.09, 100.20, 59.96 degrees
Positions (direct):
Ac  0.203  0.000  0.615
Ac  0.128  0.330  0.385
Ac  0.299  0.662  0.884
Ac  0.621  0.000  0.883
Co  0.167  0.665  0.500
Co  0.667  0.666  0.000
Ac  0.872  0.670  0.615
Ac  0.701  0.338  0.116
Ac  0.542  0.330  0.615
Ac  0.961  0.338  0.884
Ac  0.039  0.662  0.116
H  0.000  0.000  0.000
Ac  0.379  0.000  0.117
Co  0.500  0.000  0.500
Ac  0.458  0.670  0.385
Co  0.833  0.335  0.500
Co  0.333  0.334  0.000
Ac  0.797  0.000  0.385

* DOS(E_F): 17.54 states/eV/cell
* raw total energy: -0.1821 Ha/atom
* magnetization: 0.0000 μB/atom